Na3In5Ag2 | PBE | optimized geometry

Calculated values
- Total energy: -94.94 eV per cell

abc: 12.7732 13.5189 6.3381
angles: 90.00 90.00 90.00
Last column: nearest neighbours and their distance in Å.
Space group Ibam (No. 72)
Asymmetric unit:
Na: 0.0000 0.0000 0.2500  4 Ag 3.16, 2 Na 3.17, 2 In 3.20
Na: 0.1234 0.2403 0.0000  3 Ag 3.29-3.44, 4 In 3.41-3.47
In: 0.0000 0.5000 0.2500  8 In 3.05-3.19
In: 0.1201 0.3444 0.5000  1 Ag 2.72
In: 0.2503 0.0000 0.2500  2 Ag 2.84, 4 In 3.11-3.17
Ag: 0.1490 0.1453 0.5000  3 In 2.72-2.84